An optimized crystal structure of ThAl2Ir2, computed with GGA-PBE.

Computed properties:
N(E_F): 4.88 states/eV/f.u.
crystal system: tetragonal
formation enthalpy at 0 K: -0.903 eV/atom
theoretical density: 11.861 g/cm3

Lattice parameters (Å, degrees): 4.233 4.233 10.897 101.20 101.20 90.00
Atoms (fractional coordinates):
1 Al 0.000 0.500 0.000
2 Al 0.500 0.000 0.000
3 Al 0.188 0.188 0.377
4 Th 0.369 0.369 0.738
5 Ir 0.070 0.070 0.140
6 Ir 0.930 0.930 0.860
7 Ir 0.750 0.250 0.500
8 Al 0.812 0.812 0.623
9 Th 0.631 0.631 0.262
10 Ir 0.250 0.750 0.500